# GGA-PBEsol HoCo5P3, optimized geometry
data_HoCo5P3
_chemical_formula_sum 'Ho4 Co20 P12'
_space_group_name_H-M_alt 'P 1'
_space_group_IT_number 1
_space_group_name_Hall 'P 1'
_cell_length_a 11.559
_cell_length_b 3.586
_cell_length_c 10.142
_cell_angle_alpha 90.00
_cell_angle_beta 90.00
_cell_angle_gamma 90.00
loop_
_atom_site_label
_atom_site_type_symbol
_atom_site_fract_x
_atom_site_fract_y
_atom_site_fract_z
Ho1 Ho 0.203 0.250 0.083
Ho2 Ho 0.297 0.750 0.583
Ho3 Ho 0.703 0.250 0.417
Ho4 Ho 0.797 0.750 0.917
Co1 Co 0.008 0.750 0.717
Co2 Co 0.012 0.750 0.093
Co3 Co 0.069 0.750 0.469
Co4 Co 0.177 0.250 0.780
Co5 Co 0.198 0.250 0.383
Co6 Co 0.302 0.750 0.883
Co7 Co 0.323 0.750 0.280
Co8 Co 0.431 0.250 0.969
Co9 Co 0.488 0.250 0.593
Co10 Co 0.492 0.250 0.217
Co11 Co 0.508 0.750 0.783
Co12 Co 0.512 0.750 0.407
Co13 Co 0.569 0.750 0.031
Co14 Co 0.677 0.250 0.720
Co15 Co 0.698 0.250 0.117
Co16 Co 0.802 0.750 0.617
Co17 Co 0.823 0.750 0.220
Co18 Co 0.931 0.250 0.531
Co19 Co 0.988 0.250 0.907
Co20 Co 0.992 0.250 0.283
P1 P 0.109 0.750 0.899
P2 P 0.112 0.250 0.583
P3 P 0.129 0.750 0.271
P4 P 0.371 0.250 0.771
P5 P 0.388 0.750 0.083
P6 P 0.391 0.250 0.399
P7 P 0.609 0.750 0.601
P8 P 0.612 0.250 0.917
P9 P 0.629 0.750 0.229
P10 P 0.871 0.250 0.729
P11 P 0.888 0.750 0.417
P12 P 0.891 0.250 0.101
# magnetization = 3.36 μB per cell
# ρ = 8.7 g/cm³
# energy of formation = -947 meV/atom
# DOS at the Fermi energy = 24.446 states/eV per cell